ThAl3NiAu after structural relaxation. Source: Alexandria, functional PBE-GGA.

The structure belongs to space group Cmcm (No. 63); the cell edges are 6.154, 12.350 and 5.962 Å and the angles 90.00°, 90.00° and 90.00°. The asymmetric unit holds Th at (0.000, 0.224, 0.250), Al at (0.000, 0.367, 0.750), Al at (0.217, 0.000, 0.000), Ni at (0.000, 0.432, 0.250) and Au at (0.000, 0.154, 0.750).

Its crystal system is orthorhombic. The calculation puts the calculated formation energy at -231 kJ/mol of formula units. The density of states at the Fermi level comes out at 10.542 states/eV per cell.

TmAlNiAu after structural relaxation. Source: Alexandria, functional PBE-GGA.

The structure belongs to space group F-43m (No. 216); the cell edges are 6.543, 6.543 and 6.543 Å and the angles 90.00°, 90.00° and 90.00°. The asymmetric unit holds Tm at (0.000, 0.000, 0.000), Al at (0.000, 0.000, 0.500), Ni at (0.250, 0.250, 0.250) and Au at (0.250, 0.250, 0.750).

Its crystal system is cubic. The calculation puts the calculated formation energy at -215 kJ/mol of formula units. The density of states at the Fermi level comes out at 10.559 states/eV per cell.

AlVNi2Au after structural relaxation. Source: Alexandria, functional PBE-GGA.

The structure belongs to space group P4/mmm (No. 123); the cell edges are 4.257, 4.257 and 4.686 Å and the angles 90.00°, 90.00° and 90.00°. The asymmetric unit holds Al at (0.000, 0.000, 0.000), V at (0.000, 0.000, 0.500), Ni at (0.000, 0.500, 0.000) and Au at (0.500, 0.500, 0.500).

Its crystal system is tetragonal. The calculation puts the calculated formation energy at 396 kJ/mol of formula units. The density of states at the Fermi level comes out at 3.582 states/eV per cell.

ZrAlNi2Au after structural relaxation. Source: Alexandria, functional PBE-GGA.

The structure belongs to space group P4/mmm (No. 123); the cell edges are 4.695, 4.695 and 4.509 Å and the angles 90.00°, 90.00° and 90.00°. The asymmetric unit holds Zr at (0.000, 0.000, 0.000), Al at (0.500, 0.500, 0.000), Ni at (0.000, 0.500, 0.500) and Au at (0.500, 0.500, 0.500).

Its crystal system is tetragonal. The calculation puts the calculated formation energy at 316 kJ/mol of formula units. The density of states at the Fermi level comes out at 5.212 states/eV per cell.

NpAl3Au after structural relaxation. Source: Alexandria, functional PBE-GGA.

The structure belongs to space group Pnma (No. 62); the cell edges are 8.571, 3.558 and 11.874 Å and the angles 90.00°, 90.00° and 90.00°. The asymmetric unit holds Np at (0.094, 0.250, 0.006), Al at (0.090, 0.250, 0.412), Al at (0.099, 0.750, 0.219), Al at (0.146, 0.750, 0.794) and Au at (0.130, 0.250, 0.625).

Its crystal system is orthorhombic. The calculation puts the calculated formation energy at -115 kJ/mol of formula units. The density of states at the Fermi level comes out at 14.792 states/eV per cell.

Np2Al3Au9 after structural relaxation. Source: Alexandria, functional PBE-GGA.

The structure belongs to space group C2/c (No. 15); the cell edges are 13.828, 7.942 and 10.912 Å and the angles 90.00°, 115.29° and 90.00°. The asymmetric unit holds Np at (0.168, 0.084, 0.248), Al at (0.085, 0.238, 0.497), Al at (0.250, 0.250, 0.000), Au at (0.000, 0.354, 0.250), Au at (0.060, 0.082, 0.927), Au at (0.107, 0.412, 0.066), Au at (0.113, 0.306, 0.744) and Au at (0.228, 0.417, 0.434).

Its crystal system is monoclinic. The calculation puts the calculated formation energy at -431 kJ/mol of formula units. The density of states at the Fermi level comes out at 108.522 states/eV per cell.

NpAlAu3 after structural relaxation. Source: Alexandria, functional PBE-GGA.

The structure belongs to space group P2_1/c (No. 14); the cell edges are 8.194, 5.296 and 10.680 Å and the angles 90.00°, 120.98° and 90.00°. The asymmetric unit holds Np at (0.157, 0.145, 0.107), Al at (0.279, 0.659, 0.957), Au at (0.037, 0.634, 0.204), Au at (0.367, 0.198, 0.934) and Au at (0.406, 0.661, 0.232).

Its crystal system is monoclinic. The calculation puts the calculated formation energy at -113 kJ/mol of formula units. The density of states at the Fermi level comes out at 35.084 states/eV per cell.

NpAl4Au12 after structural relaxation. Source: Alexandria, functional PBE-GGA.

The structure belongs to space group Im-3 (No. 204); the cell edges are 8.925, 8.925 and 8.925 Å and the angles 90.00°, 90.00° and 90.00°. The asymmetric unit holds Np at (0.000, 0.000, 0.000), Al at (0.250, 0.250, 0.250) and Au at (0.000, 0.156, 0.342).

Its crystal system is cubic. The calculation puts the calculated formation energy at -136 kJ/mol of formula units. The density of states at the Fermi level comes out at 34.109 states/eV per cell.

Which formula does entry 6 have?
Np2Al3Au9